Sc2CrHPt | GGA-PBE | relaxed

Calculated values
Calculated volume = 14.30 A^3/atom
ρ = 7.850 g cm⁻³
Uncorrected energy = -6.873 eV/atom
DOS(E_F) = 0.68 states/eV/atom
Space group = P4/mmm, No. 123

Unit cell a=4.488 b=4.488 c=3.551 alpha=90.00 beta=90.00 gamma=90.00
Atoms (fractional coordinates):
Cr (0.000, 0.000, 0.500)
Pt (0.500, 0.500, 0.500)
H (0.000, 0.000, 0.000)
Sc (0.000, 0.500, 0.000)
Sc (0.500, 0.000, 0.000)